Compound: Ac2Zn6Ag
Source: the Alexandria database
Functional: PBE
Structure: optimized geometry

Summary:
Energy: -2.291 eV/atom
DOS at the Fermi energy: 7.79 states/eV/cell
Total moment: 0.00 μB per cell
Crystal system: cubic
ΔE_f: -0.211 eV per atom

```
data_Ac2Zn6Ag
_chemical_formula_sum 'Ac2 Zn6 Ag1'
_space_group_name_H-M_alt 'P 1'
_space_group_IT_number 1
_cell_length_a 6.586
_cell_length_b 6.586
_cell_length_c 6.584
_cell_angle_alpha 59.97
_cell_angle_beta 59.97
_cell_angle_gamma 59.98
loop_
_space_group_symop_operation_xyz
'x,y,z'
loop_
_atom_site_label
_atom_site_type_symbol
_atom_site_fract_x
_atom_site_fract_y
_atom_site_fract_z
_atom_site_occupancy
Ag1 Ag 0.500 0.500 0.500 1
Ac1 Ac 0.250 0.250 0.249 1
Zn1 Zn 0.208 0.791 0.209 1
Zn2 Zn 0.792 0.792 0.209 1
Zn3 Zn 0.791 0.208 0.209 1
Ac2 Ac 0.750 0.750 0.751 1
Zn4 Zn 0.208 0.208 0.791 1
Zn5 Zn 0.209 0.792 0.791 1
Zn6 Zn 0.792 0.209 0.791 1
```